PBE-GGA Ba2AcUAs4, optimized geometry; Fermi-level density of states = 0.462 states/eV per atom; E = -46.44 eV/cell; energy of formation = -1.07 eV/atom; crystal system = monoclinic
1.0
7.754 0.000 0.000
0.000 4.486 0.000
-2.591 0.000 7.530
Ba Ac U As
2 1 1 4
Direct
0.000 0.000 0.000
0.500 0.500 0.000
0.000 0.500 0.500
0.500 0.000 0.500
0.267 0.000 0.713
0.288 0.500 0.296
0.712 0.500 0.704
0.733 0.000 0.287